(1)
# HfCoAu2

A geometry-optimized HfCoAu2 structure (PBE-GGA, OQMD via LeMat-Bulk).

a b c (Å): 4.551 4.551 4.551
angles (deg): 60.00 60.00 60.00
Atoms (fractional coordinates):
Co 0.500 0.500 0.500
Hf 0.250 0.250 0.250
Au 0.000 0.000 0.000
Au 0.750 0.750 0.750

The value obtained for the energy relative to the elements is -211 meV/atom. For the total moment, the calculation gives 1.081 Bohr magnetons per cell. As for the symmetry: F-43m, No. 216.


(2)
# Hf4CoAuN2

A geometry-optimized Hf4CoAuN2 structure (PBE-GGA, OQMD via LeMat-Bulk).

a b c (Å): 3.212 3.212 13.493
angles (deg): 90.00 90.00 120.00
Atoms (fractional coordinates):
N 0.333 0.667 0.741
N 0.333 0.667 0.259
Hf 0.667 0.333 0.833
Hf 0.000 0.000 0.641
Hf 0.667 0.333 0.167
Hf 0.000 0.000 0.359
Co 0.667 0.333 0.500
Au 0.000 0.000 0.000

For the total moment, the calculation gives 0.074 Bohr magnetons per cell. As for the symmetry: P-6m2, No. 187.


(3)
# Hf4CoP2Au

A geometry-optimized Hf4CoP2Au structure (PBE-GGA, OQMD via LeMat-Bulk).

a b c (Å): 5.265 3.633 7.703
angles (deg): 90.00 109.60 90.00
Atoms (fractional coordinates):
P 0.892 0.000 0.694
P 0.139 0.500 0.289
Hf 0.712 0.500 0.419
Hf 0.274 0.000 0.551
Hf 0.218 0.500 0.946
Hf 0.781 0.000 0.100
Co 0.353 0.000 0.203
Au 0.628 0.500 0.797

For the total moment, the calculation gives 0.010 Bohr magnetons per cell. As for the symmetry: Pm, No. 6.


(4)
# HfTlCoAu

A geometry-optimized HfTlCoAu structure (PBE-GGA, OQMD via LeMat-Bulk).

a b c (Å): 4.662 4.662 4.662
angles (deg): 60.00 60.00 60.00
Atoms (fractional coordinates):
Au 0.500 0.500 0.500
Co 0.750 0.750 0.750
Tl 0.000 0.000 0.000
Hf 0.250 0.250 0.250

For the total moment, the calculation gives 0.490 Bohr magnetons per cell. As for the excess energy over the best structure of this formula in the dataset: 88 meV/atom. As for the symmetry: F-43m, No. 216.


(5)
# HfTlCoAu

A geometry-optimized HfTlCoAu structure (PBE-GGA, OQMD via LeMat-Bulk).

a b c (Å): 4.679 4.679 4.679
angles (deg): 60.00 60.00 60.00
Atoms (fractional coordinates):
Hf 0.500 0.500 0.500
Co 0.750 0.750 0.750
Au 0.250 0.250 0.250
Tl 0.000 0.000 0.000

For the total moment, the calculation gives 1.040 Bohr magnetons per cell. As for the excess energy over the best structure of this formula in the dataset: 0 meV/atom. As for the symmetry: F-43m, No. 216.


(6)
# HfZnCoAu

A geometry-optimized HfZnCoAu structure (PBE-GGA, OQMD via LeMat-Bulk).

a b c (Å): 4.499 4.499 4.499
angles (deg): 60.00 60.00 60.00
Atoms (fractional coordinates):
Au 0.500 0.500 0.500
Co 0.750 0.750 0.750
Zn 0.000 0.000 0.000
Hf 0.250 0.250 0.250

The value obtained for the energy relative to the elements is -80 meV/atom. For the total moment, the calculation gives 0.018 Bohr magnetons per cell. As for the excess energy over the best structure of this formula in the dataset: 175 meV/atom. As for the symmetry: F-43m, No. 216.


(7)
# HfZnCoAu

A geometry-optimized HfZnCoAu structure (PBE-GGA, OQMD via LeMat-Bulk).

a b c (Å): 4.482 4.482 4.482
angles (deg): 60.00 60.00 60.00
Atoms (fractional coordinates):
Co 0.750 0.750 0.750
Hf 0.500 0.500 0.500
Zn 0.000 0.000 0.000
Au 0.250 0.250 0.250

The value obtained for the energy relative to the elements is -255 meV/atom. For the total moment, the calculation gives 0.859 Bohr magnetons per cell. As for the excess energy over the best structure of this formula in the dataset: 0 meV/atom. As for the symmetry: F-43m, No. 216.


(8)
# CoHg2Au

A geometry-optimized CoHg2Au structure (PBE-GGA, OQMD via LeMat-Bulk).

a b c (Å): 4.706 4.706 4.706
angles (deg): 60.00 60.00 60.00
Atoms (fractional coordinates):
Hg 0.000 0.000 0.000
Hg 0.750 0.750 0.750
Au 0.500 0.500 0.500
Co 0.250 0.250 0.250

The value obtained for the energy relative to the elements is 439 meV/atom. For the total moment, the calculation gives 1.578 Bohr magnetons per cell. As for the symmetry: F-43m, No. 216.


no.,energy (eV per atom),calculated volume (Å³/atom)
1,-6.11,16.66
2,-9.34,15.07
3,-8.49,17.35
4,-5.55,17.91
5,-5.64,18.11
6,-5.48,16.10
7,-5.65,15.92
8,-2.30,18.42